DFT (PBE-GGA) results for crystalline In2HgRu at its relaxed geometry.

The calculated formation energy is 0.111 eV/atom. Its space group is P4/mmm, No. 123. The total energy comes out at -14.61 eV for the cell shown. The calculation puts the total magnetic moment at 0.00 μB/cell.

a b c (Å): 3.253 3.253 8.019
angles (deg): 90.00 90.00 90.00
Fractional coordinates of all 4 atoms:
Hg: 0.500 0.500 0.750
Ru: 0.500 0.500 0.250
In: 0.000 0.000 0.448
In: 0.000 0.000 0.052